Record 1
Density functional theory data (PBE) for a relaxed structure of Nd4PPbSe2.

Lattice parameters (Å, degrees): 7.464 4.304 7.504 90.00 109.41 90.00
Atoms (fractional coordinates):
1 Nd 0.240 0.000 0.234
2 Nd 0.252 0.500 0.764
3 Nd 0.748 0.500 0.236
4 Nd 0.760 0.000 0.766
5 P 0.000 0.500 0.000
6 Pb 0.000 0.000 0.500
7 Se 0.500 0.000 0.000
8 Se 0.500 0.500 0.500

Results
- Symmetry: No. 10
- E_form (uncorrected): -1.4453 eV per atom

Record 2
Density functional theory data (PBE) for a relaxed structure of Th6SnOs3.

Lattice parameters (Å, degrees): 11.757 4.282 12.110 90.00 106.93 90.00
Atoms (fractional coordinates):
1 Th 0.024 0.250 0.391
2 Th 0.111 0.250 0.954
3 Th 0.205 0.750 0.262
4 Th 0.287 0.750 0.768
5 Th 0.355 0.250 0.543
6 Th 0.417 0.750 0.087
7 Th 0.583 0.250 0.913
8 Th 0.645 0.750 0.457
9 Th 0.713 0.250 0.232
10 Th 0.795 0.250 0.738
11 Th 0.889 0.750 0.046
12 Th 0.976 0.750 0.609
13 Sn 0.443 0.250 0.308
14 Sn 0.557 0.750 0.692
15 Os 0.035 0.250 0.165
16 Os 0.180 0.750 0.498
17 Os 0.345 0.250 0.919
18 Os 0.655 0.750 0.081
19 Os 0.820 0.250 0.502
20 Os 0.965 0.750 0.835

Results
- Symmetry: No. 11
- Energy relative to the elements: -0.3393 eV/atom

Record 3
Density functional theory data (PBE) for a relaxed structure of Cr2SiRh.

Lattice parameters (Å, degrees): 2.704 2.704 6.750 90.00 90.00 90.00
Atoms (fractional coordinates):
1 Cr 0.000 0.000 0.232
2 Cr 0.000 0.000 0.768
3 Si 0.500 0.500 0.000
4 Rh 0.500 0.500 0.500

Results
- Symmetry: No. 123
- E_form (uncorrected): -0.1393 eV per atom

Record 4
Density functional theory data (PBE) for a relaxed structure of GdDy2Ga.

Lattice parameters (Å, degrees): 3.532 3.532 8.878 90.00 90.00 90.00
Atoms (fractional coordinates):
1 Gd 0.000 0.000 0.000
2 Dy 0.500 0.500 0.293
3 Dy 0.500 0.500 0.707
4 Ga 0.000 0.000 0.500

Results
- ΔE to the lowest computed polymorph: 0.000 eV/atom
- Symmetry: No. 123
- Energy relative to the elements: -0.2747 eV/atom

Record 5
Density functional theory data (PBE) for a relaxed structure of Li2NdAl2Ga2.

Lattice parameters (Å, degrees): 7.581 4.366 8.288 90.00 107.48 90.00
Atoms (fractional coordinates):
1 Li 0.143 0.000 0.432
2 Li 0.357 0.500 0.568
3 Li 0.643 0.500 0.432
4 Li 0.857 0.000 0.568
5 Nd 0.000 0.000 0.000
6 Nd 0.500 0.500 0.000
7 Al 0.065 0.500 0.693
8 Al 0.435 0.000 0.307
9 Al 0.565 0.000 0.693
10 Al 0.935 0.500 0.307
11 Ga 0.241 0.500 0.226
12 Ga 0.259 0.000 0.774
13 Ga 0.741 0.000 0.226
14 Ga 0.759 0.500 0.774

Results
- Symmetry: No. 12
- Energy relative to the elements: -0.4271 eV/atom

Record 6
Density functional theory data (PBE) for a relaxed structure of CrGa.

Lattice parameters (Å, degrees): 3.158 4.138 4.030 90.00 90.00 90.00
Atoms (fractional coordinates):
1 Cr 0.000 0.000 0.000
2 Cr 0.500 0.500 0.000
3 Ga 0.000 0.500 0.500
4 Ga 0.500 0.000 0.500

Results
- Symmetry: No. 65
- Energy relative to the elements: 0.1521 eV/atom

Record 7
Density functional theory data (PBE) for a relaxed structure of AlTl3Bi3Se8.

Lattice parameters (Å, degrees): 8.363 8.363 8.960 117.70 117.70 60.08
Atoms (fractional coordinates):
1 Al 0.000 0.000 0.000
2 Tl 0.000 0.000 0.500
3 Tl 0.000 0.500 0.500
4 Tl 0.500 0.000 0.500
5 Bi 0.000 0.500 0.000
6 Bi 0.500 0.000 0.000
7 Bi 0.500 0.500 0.000
8 Se 0.215 0.215 0.200
9 Se 0.215 0.770 0.200
10 Se 0.230 0.785 0.800
11 Se 0.258 0.258 0.775
12 Se 0.742 0.742 0.225
13 Se 0.770 0.215 0.200
14 Se 0.785 0.230 0.800
15 Se 0.785 0.785 0.800

Results
- Symmetry: No. 12
- E_form (uncorrected): -0.4566 eV per atom

Record 8
Density functional theory data (PBE) for a relaxed structure of Be2TeP.

Lattice parameters (Å, degrees): 3.463 5.799 6.806 90.00 90.00 90.00
Atoms (fractional coordinates):
1 Be 0.000 0.000 0.188
2 Be 0.000 0.000 0.812
3 Be 0.500 0.500 0.188
4 Be 0.500 0.500 0.812
5 Te 0.000 0.500 0.500
6 Te 0.500 0.000 0.500
7 P 0.000 0.500 0.000
8 P 0.500 0.000 0.000

Results
- ΔE to the lowest computed polymorph: 0.585 eV/atom
- Symmetry: No. 65
- E_form (uncorrected): 0.4552 eV per atom

Record 9
Density functional theory data (PBE) for a relaxed structure of Ni4GeB.

Lattice parameters (Å, degrees): 6.309 6.309 5.378 105.41 105.41 39.96
Atoms (fractional coordinates):
1 Ni 0.024 0.798 0.555
2 Ni 0.197 0.421 0.857
3 Ni 0.202 0.976 0.945
4 Ni 0.421 0.197 0.357
5 Ni 0.579 0.803 0.643
6 Ni 0.798 0.024 0.055
7 Ni 0.803 0.579 0.143
8 Ni 0.976 0.202 0.445
9 Ge 0.381 0.619 0.250
10 Ge 0.619 0.381 0.750
11 B 0.000 0.500 0.500
12 B 0.500 0.000 0.000

Results
- ΔE to the lowest computed polymorph: 0.088 eV/atom
- Symmetry: No. 15
- Energy relative to the elements: -0.1794 eV/atom

Record 10
Density functional theory data (PBE) for a relaxed structure of LaTb2Sm2Er2.

Lattice parameters (Å, degrees): 11.645 3.495 11.871 90.00 102.20 90.00
Atoms (fractional coordinates):
1 La 0.000 0.000 0.000
2 La 0.500 0.500 0.000
3 Tb 0.092 0.500 0.280
4 Tb 0.408 0.000 0.720
5 Tb 0.592 0.000 0.280
6 Tb 0.908 0.500 0.720
7 Sm 0.204 0.500 0.866
8 Sm 0.296 0.000 0.134
9 Sm 0.704 0.000 0.866
10 Sm 0.796 0.500 0.134
11 Er 0.157 0.500 0.572
12 Er 0.343 0.000 0.428
13 Er 0.657 0.000 0.572
14 Er 0.843 0.500 0.428

Results
- Symmetry: No. 12
- Energy relative to the elements: 0.1681 eV/atom

Record 11
Density functional theory data (PBE) for a relaxed structure of LiMgSbPt.

Lattice parameters (Å, degrees): 6.543 6.543 6.543 90.00 90.00 90.00
Atoms (fractional coordinates):
1 Li 0.000 0.000 0.000
2 Li 0.000 0.500 0.500
3 Li 0.500 0.000 0.500
4 Li 0.500 0.500 0.000
5 Mg 0.250 0.250 0.750
6 Mg 0.250 0.750 0.250
7 Mg 0.750 0.250 0.250
8 Mg 0.750 0.750 0.750
9 Sb 0.250 0.250 0.250
10 Sb 0.250 0.750 0.750
11 Sb 0.750 0.250 0.750
12 Sb 0.750 0.750 0.250
13 Pt 0.000 0.000 0.500
14 Pt 0.000 0.500 0.000
15 Pt 0.500 0.000 0.000
16 Pt 0.500 0.500 0.500

Results
- Symmetry: No. 216
- E_form (uncorrected): -0.6080 eV per atom

Record 12
Density functional theory data (PBE) for a relaxed structure of ScBeSi2Ni4.

Lattice parameters (Å, degrees): 7.820 7.820 7.820 28.64 28.64 28.64
Atoms (fractional coordinates):
1 Sc 0.000 0.000 0.000
2 Be 0.500 0.500 0.500
3 Si 0.243 0.243 0.243
4 Si 0.757 0.757 0.757
5 Ni 0.135 0.135 0.135
6 Ni 0.405 0.405 0.405
7 Ni 0.595 0.595 0.595
8 Ni 0.865 0.865 0.865

Results
- Symmetry: No. 166
- E_form (uncorrected): -0.6072 eV per atom

Record 13
Density functional theory data (PBE) for a relaxed structure of SbTeF2.

Lattice parameters (Å, degrees): 3.227 3.227 27.894 90.00 90.00 120.00
Atoms (fractional coordinates):
1 Sb 0.000 0.000 0.000
2 Sb 0.333 0.667 0.667
3 Sb 0.667 0.333 0.333
4 Te 0.000 0.000 0.500
5 Te 0.333 0.667 0.167
6 Te 0.667 0.333 0.833
7 F 0.000 0.000 0.074
8 F 0.000 0.000 0.926
9 F 0.333 0.667 0.593
10 F 0.333 0.667 0.740
11 F 0.667 0.333 0.260
12 F 0.667 0.333 0.407

Results
- ΔE to the lowest computed polymorph: 0.346 eV/atom
- Symmetry: No. 166
- E_form (uncorrected): -1.0799 eV per atom

Record 14
Density functional theory data (PBE) for a relaxed structure of Tb6Ga2Au.

Lattice parameters (Å, degrees): 8.646 8.646 8.646 146.71 131.84 59.80
Atoms (fractional coordinates):
1 Tb 0.081 0.834 0.247
2 Tb 0.248 0.500 0.748
3 Tb 0.413 0.166 0.247
4 Tb 0.587 0.834 0.753
5 Tb 0.752 0.500 0.252
6 Tb 0.919 0.166 0.753
7 Ga 0.333 0.333 0.000
8 Ga 0.667 0.667 0.000
9 Au 0.000 0.000 0.000

Results
- Symmetry: No. 71
- Energy relative to the elements: -0.3123 eV/atom

Record 15
Density functional theory data (PBE) for a relaxed structure of TbLuZnGa.

Lattice parameters (Å, degrees): 7.083 7.083 7.083 90.00 90.00 90.00
Atoms (fractional coordinates):
1 Tb 0.000 0.000 0.000
2 Tb 0.000 0.500 0.500
3 Tb 0.500 0.000 0.500
4 Tb 0.500 0.500 0.000
5 Lu 0.000 0.000 0.500
6 Lu 0.000 0.500 0.000
7 Lu 0.500 0.000 0.000
8 Lu 0.500 0.500 0.500
9 Zn 0.250 0.250 0.750
10 Zn 0.250 0.750 0.250
11 Zn 0.750 0.250 0.250
12 Zn 0.750 0.750 0.750
13 Ga 0.250 0.250 0.250
14 Ga 0.250 0.750 0.750
15 Ga 0.750 0.250 0.750
16 Ga 0.750 0.750 0.250

Results
- Symmetry: No. 216
- Energy relative to the elements: -0.4708 eV/atom

Record 16
Density functional theory data (PBE) for a relaxed structure of Ag3TeBr8.

Lattice parameters (Å, degrees): 8.311 8.311 8.292 119.65 119.65 60.00
Atoms (fractional coordinates):
1 Ag 0.000 0.000 0.000
2 Ag 0.000 0.500 0.000
3 Ag 0.500 0.000 0.000
4 Te 0.500 0.500 0.000
5 Br 0.226 0.226 0.182
6 Br 0.267 0.267 0.761
7 Br 0.268 0.729 0.761
8 Br 0.271 0.732 0.239
9 Br 0.729 0.268 0.761
10 Br 0.732 0.271 0.239
11 Br 0.733 0.733 0.239
12 Br 0.774 0.774 0.818

Results
- Symmetry: No. 12
- E_form (uncorrected): -0.2951 eV per atom

Record 17
Density functional theory data (PBE) for a relaxed structure of MgSc2Fe.

Lattice parameters (Å, degrees): 3.483 5.049 8.717 90.00 90.00 90.00
Atoms (fractional coordinates):
1 Mg 0.000 0.000 0.000
2 Mg 0.500 0.500 0.500
3 Sc 0.000 0.500 0.201
4 Sc 0.000 0.500 0.799
5 Sc 0.500 0.000 0.299
6 Sc 0.500 0.000 0.701
7 Fe 0.000 0.000 0.500
8 Fe 0.500 0.500 0.000

Results
- Symmetry: No. 71
- Energy relative to the elements: 0.0598 eV/atom

Record 18
Density functional theory data (PBE) for a relaxed structure of MgSi4Sb.

Lattice parameters (Å, degrees): 5.311 5.311 5.311 60.00 60.00 60.00
Atoms (fractional coordinates):
1 Mg 0.000 0.000 0.000
2 Si 0.374 0.374 0.374
3 Si 0.374 0.374 0.877
4 Si 0.374 0.877 0.374
5 Si 0.877 0.374 0.374
6 Sb 0.750 0.750 0.750

Results
- Symmetry: No. 216
- E_form (uncorrected): 0.3804 eV per atom

Record 19
Density functional theory data (PBE) for a relaxed structure of Tm2InSn4.

Lattice parameters (Å, degrees): 4.381 4.381 9.925 90.00 90.00 90.00
Atoms (fractional coordinates):
1 Tm 0.000 0.500 0.246
2 Tm 0.500 0.000 0.754
3 In 0.000 0.000 0.500
4 Sn 0.000 0.000 0.000
5 Sn 0.000 0.500 0.699
6 Sn 0.500 0.000 0.301
7 Sn 0.500 0.500 0.000

Results
- ΔE to the lowest computed polymorph: 0.015 eV/atom
- Symmetry: No. 115
- Energy relative to the elements: -0.3365 eV/atom

Record 20
Density functional theory data (PBE) for a relaxed structure of AsIrCl2.

Lattice parameters (Å, degrees): 4.526 3.048 6.905 90.00 102.54 90.00
Atoms (fractional coordinates):
1 As 0.000 0.000 0.000
2 Ir 0.819 0.000 0.663
3 Cl 0.294 0.000 0.580
4 Cl 0.639 0.000 0.186

Results
- ΔE to the lowest computed polymorph: 0.528 eV/atom
- Symmetry: No. 6
- E_form (uncorrected): 0.0581 eV per atom